Record 1
Compound: GaSeO2
Source: the Alexandria database
Functional: PBEsol
Structure: relaxed Values from VASP.

Summary:
SG	I-42d

Cell and atoms, written as Quantum ESPRESSO input:
```
&SYSTEM
  ibrav = 0, nat = 8, ntyp = 3
/
ATOMIC_SPECIES
O 16.00 O.upf
Ga 69.72 Ga.upf
Se 78.96 Se.upf
ATOMIC_POSITIONS angstrom
O -0.7740 6.0829 3.8630
O 0.7740 4.7333 1.6554
O 1.2937 1.8488 0.9952
O 3.8812 2.6562 2.3160
Ga 0.0000 3.1556 1.1036
Ga 2.5875 1.3495 2.2076
Se 2.5875 4.5051 3.3112
Se 0.0000 0.0000 0.0000
CELL_PARAMETERS angstrom
5.1749 0.0000 0.0000
-2.5875 4.9616 -0.0004
0.0000 2.6991 4.4153
```

Record 2
Compound: Al2CdCo2
Source: the Alexandria database
Functional: PBEsol
Structure: relaxed Values from VASP.

Summary:
E_form	0.012	eV per atom
SG	I4/mmm

Cell and atoms, written as Quantum ESPRESSO input:
```
&SYSTEM
  ibrav = 0, nat = 5, ntyp = 3
/
ATOMIC_SPECIES
Co 58.93 Co.upf
Al 26.98 Al.upf
Cd 112.41 Cd.upf
ATOMIC_POSITIONS angstrom
Co 2.6892 1.3092 2.9187
Co -0.4926 -1.1296 2.5620
Al 1.8941 -0.9065 2.4541
Al 0.3025 1.0862 3.0266
Cd 0.0000 0.0000 0.0000
CELL_PARAMETERS angstrom
-2.8039 0.5127 2.3535
0.3792 -3.4727 1.2083
4.6212 3.1396 1.9189
```

Record 3
Compound: Ca2AlSi
Source: the Alexandria database
Functional: PBEsol
Structure: relaxed Values from VASP.

Summary:
SG	Amm2

Cell and atoms, written as Quantum ESPRESSO input:
```
&SYSTEM
  ibrav = 0, nat = 4, ntyp = 3
/
ATOMIC_SPECIES
Ca 40.08 Ca.upf
Si 28.09 Si.upf
Al 26.98 Al.upf
ATOMIC_POSITIONS angstrom
Ca 0.6534 -0.0469 0.9512
Ca 0.7640 -0.0193 4.7209
Si 1.8116 -2.3531 2.9361
Al -0.7063 -2.1367 2.8795
CELL_PARAMETERS angstrom
-3.3612 0.3125 2.3244
-0.3807 -4.4185 0.0435
3.3349 1.9834 4.5559
```

Number 1: calculated total energy -5.075 eV per atom, ρ 5.3 g/cm3. Number 2: calculated total energy -4.959 eV per atom, ρ 6.5 g/cm3. Number 3: calculated total energy -3.949 eV per atom, ρ 2.2 g/cm3.